A plane-wave DFT calculation with PBE with a Hubbard U was carried out for LiVCuF6 after structural relaxation.

CIF file:
```
data_LiVCuF6
_chemical_formula_sum 'Li2 V2 Cu2 F12'
_space_group_name_H-M_alt 'P -3 1 c'
_space_group_IT_number 163
_space_group_name_Hall '-P 3 2c'
_cell_length_a 5.0896
_cell_length_b 5.0896
_cell_length_c 9.0188
_cell_angle_alpha 90.00
_cell_angle_beta 90.00
_cell_angle_gamma 120.00
loop_
_atom_site_label
_atom_site_type_symbol
_atom_site_fract_x
_atom_site_fract_y
_atom_site_fract_z
Li1 Li 0.3333 0.6667 0.2500
V1 V 0.3333 0.6667 0.7500
Cu1 Cu 0.0000 0.0000 0.0000
F1 F 0.0119 0.3488 0.6302
```

Values from the calculation:
E_tot, eV per cell: -92.99